DFT (GGA-PBE) results for a geometry-optimized Pm3In4Ag4 structure.

## Properties
**DOS at the Fermi energy**: 8.14 states/eV/f.u.
**ΔE to the lowest computed polymorph**: 0.038 eV/atom
**Crystal system**: orthorhombic
**Calculated density**: 8.13 g/cm3
**E_tot**: -3.641 eV per atom
**Magnetic moment**: 0.00 μB per formula unit

a b c (Å): 4.609 7.484 8.998
angles (deg): 114.57 104.84 90.00
Element x y z (fractional)
1 Pm 0.125 0.125 0.251
2 Pm 0.875 0.875 0.749
3 Pm 0.000 0.500 0.000
4 In 0.331 0.130 0.662
5 In 0.669 0.468 0.338
6 In 0.669 0.870 0.338
7 In 0.331 0.532 0.662
8 Ag 0.215 0.715 0.431
9 Ag 0.785 0.285 0.569
10 Ag 0.500 0.811 0.000
11 Ag 0.500 0.189 0.000

---

DFT (GGA-PBE) results for a geometry-optimized Pm2InAg2 structure.

## Properties
**DOS at the Fermi energy**: 4.32 states/eV/f.u.
**Crystal system**: tetragonal
**Calculated density**: 8.01 g/cm3
**E_tot**: -3.952 eV per atom
**Magnetic moment**: 0.00 μB per formula unit

a b c (Å): 3.970 8.051 8.051
angles (deg): 90.00 90.00 90.00
Element x y z (fractional)
1 Pm 0.500 0.174 0.674
2 Pm 0.500 0.674 0.826
3 Pm 0.500 0.826 0.326
4 Pm 0.500 0.326 0.174
5 In 0.000 0.000 0.000
6 In 0.000 0.500 0.500
7 Ag 0.000 0.375 0.875
8 Ag 0.000 0.875 0.625
9 Ag 0.000 0.625 0.125
10 Ag 0.000 0.125 0.375

---

DFT (GGA-PBE) results for a geometry-optimized Pm6In2Ag structure.

## Properties
**DOS at the Fermi energy**: 11.72 states/eV/f.u.
**Crystal system**: hexagonal
**Calculated density**: 7.26 g/cm3
**E_tot**: -4.329 eV per atom
**Magnetic moment**: 0.00 μB per formula unit

a b c (Å): 4.486 8.430 8.432
angles (deg): 119.99 90.00 90.00
Element x y z (fractional)
1 Pm 0.500 0.595 0.000
2 Pm 0.500 0.405 0.406
3 Pm 0.500 0.000 0.594
4 Pm 0.000 0.260 0.000
5 Pm 0.000 0.740 0.740
6 Pm 0.000 0.000 0.260
7 In 0.000 0.333 0.667
8 In 0.000 0.667 0.333
9 Ag 0.500 0.000 0.000

---

DFT (GGA-PBE) results for a geometry-optimized PmIn2Ag4 structure.

## Properties
**DOS at the Fermi energy**: 3.25 states/eV/f.u.
**Crystal system**: tetragonal
**Calculated density**: 8.68 g/cm3
**E_tot**: -3.255 eV per atom
**Magnetic moment**: 0.00 μB per formula unit

a b c (Å): 4.677 8.119 8.119
angles (deg): 90.00 90.00 90.00
Element x y z (fractional)
1 Pm 0.500 0.000 0.000
2 Pm 0.000 0.500 0.500
3 In 0.000 0.205 0.795
4 In 0.000 0.795 0.205
5 In 0.500 0.705 0.705
6 In 0.500 0.295 0.295
7 Ag 0.000 0.105 0.359
8 Ag 0.000 0.895 0.641
9 Ag 0.500 0.141 0.605
10 Ag 0.500 0.859 0.395
11 Ag 0.500 0.395 0.859
12 Ag 0.500 0.605 0.141
13 Ag 0.000 0.359 0.105
14 Ag 0.000 0.641 0.895

---

DFT (GGA-PBE) results for a geometry-optimized Pm7In2Ag2 structure.

## Properties
**DOS at the Fermi energy**: 15.02 states/eV/f.u.
**Crystal system**: orthorhombic
**Calculated density**: 6.85 g/cm3
**E_tot**: -4.071 eV per atom
**Magnetic moment**: 0.00 μB per formula unit

a b c (Å): 7.048 7.499 7.048
angles (deg): 90.00 108.14 90.00
Element x y z (fractional)
1 Pm 0.000 0.274 0.500
2 Pm 0.500 0.726 0.000
3 Pm 0.000 0.726 0.500
4 Pm 0.500 0.274 0.000
5 Pm 0.000 0.000 0.000
6 Pm 0.500 0.742 0.500
7 Pm 0.500 0.258 0.500
8 In 0.829 0.500 0.829
9 In 0.171 0.500 0.171
10 Ag 0.711 0.000 0.289
11 Ag 0.289 0.000 0.711

---

DFT (GGA-PBE) results for a geometry-optimized Pm6InAg5 structure.

## Properties
**DOS at the Fermi energy**: 10.19 states/eV/f.u.
**ΔE to the lowest computed polymorph**: 0.000 eV/atom
**Crystal system**: monoclinic
**Calculated density**: 7.97 g/cm3
**E_tot**: -4.095 eV per atom
**Magnetic moment**: 0.01 μB per formula unit

a b c (Å): 5.280 7.582 8.349
angles (deg): 90.00 108.28 90.00
Element x y z (fractional)
1 Pm 0.831 0.749 0.661
2 Pm 0.831 0.251 0.661
3 Pm 0.500 0.259 0.000
4 Pm 0.500 0.741 0.000
5 Pm 0.169 0.749 0.339
6 Pm 0.169 0.251 0.339
7 Ag 0.667 0.500 0.334
8 Ag 0.340 0.000 0.680
9 Ag 0.000 0.500 0.000
10 Ag 0.660 0.000 0.320
11 Ag 0.333 0.500 0.666
12 In 0.000 0.000 0.000

---

DFT (GGA-PBE) results for a geometry-optimized Pm5InAg4 structure.

## Properties
**DOS at the Fermi energy**: 8.18 states/eV/f.u.
**Crystal system**: tetragonal
**Calculated density**: 7.99 g/cm3
**E_tot**: -4.104 eV per atom
**Magnetic moment**: 0.00 μB per formula unit

a b c (Å): 3.719 3.719 19.110
angles (deg): 90.00 90.00 90.00
Element x y z (fractional)
1 Pm 0.500 0.500 0.106
2 Pm 0.500 0.500 0.303
3 Pm 0.500 0.500 0.500
4 Pm 0.500 0.500 0.697
5 Pm 0.500 0.500 0.894
6 In 0.000 0.000 0.000
7 Ag 0.000 0.000 0.205
8 Ag 0.000 0.000 0.402
9 Ag 0.000 0.000 0.598
10 Ag 0.000 0.000 0.795

---

DFT (GGA-PBE) results for a geometry-optimized Pm2In3Ag structure.

## Properties
**DOS at the Fermi energy**: 4.26 states/eV/f.u.
**ΔE to the lowest computed polymorph**: 0.006 eV/atom
**Crystal system**: orthorhombic
**Calculated density**: 7.90 g/cm3
**E_tot**: -3.876 eV per atom
**Magnetic moment**: 0.00 μB per formula unit

a b c (Å): 6.164 6.164 9.314
angles (deg): 103.92 103.92 105.85
Element x y z (fractional)
1 Pm 0.250 0.750 0.500
2 Pm 0.745 0.745 0.000
3 Pm 0.750 0.250 0.500
4 Pm 0.255 0.255 0.000
5 In 0.339 0.831 0.170
6 In 0.169 0.661 0.830
7 In 0.661 0.169 0.830
8 In 0.831 0.339 0.170
9 In 0.169 0.169 0.338
10 In 0.831 0.831 0.662
11 Ag 0.668 0.668 0.336
12 Ag 0.332 0.332 0.664

---

DFT (GGA-PBE) results for a geometry-optimized Pm11In9Ag4 structure.

## Properties
**DOS at the Fermi energy**: 17.84 states/eV/f.u.
**Crystal system**: orthorhombic
**Calculated density**: 7.78 g/cm3
**E_tot**: -4.117 eV per atom
**Magnetic moment**: 0.00 μB per formula unit

a b c (Å): 3.836 13.589 13.589
angles (deg): 112.79 90.00 90.00
Element x y z (fractional)
1 Pm 0.000 0.590 0.940
2 Pm 0.000 0.410 0.060
3 Pm 0.000 0.940 0.590
4 Pm 0.000 0.060 0.410
5 Pm 0.000 0.632 0.368
6 Pm 0.000 0.368 0.632
7 Pm 0.000 0.838 0.162
8 Pm 0.000 0.162 0.838
9 Pm 0.000 0.000 0.000
10 Pm 0.000 0.699 0.699
11 Pm 0.000 0.301 0.301
12 In 0.500 0.631 0.160
13 In 0.500 0.369 0.840
14 In 0.500 0.160 0.631
15 In 0.500 0.840 0.369
16 In 0.500 0.784 0.929
17 In 0.500 0.216 0.071
18 In 0.500 0.929 0.784
19 In 0.500 0.071 0.216
20 In 0.500 0.500 0.500
21 Ag 0.500 0.552 0.753
22 Ag 0.500 0.448 0.247
23 Ag 0.500 0.753 0.552
24 Ag 0.500 0.247 0.448

---

DFT (GGA-PBE) results for a geometry-optimized PmInAg5 structure.

## Properties
**DOS at the Fermi energy**: 4.12 states/eV/f.u.
**Crystal system**: orthorhombic
**Calculated density**: 9.01 g/cm3
**E_tot**: -3.276 eV per atom
**Magnetic moment**: 0.00 μB per formula unit

a b c (Å): 5.650 9.105 11.447
angles (deg): 90.00 90.00 90.00
Element x y z (fractional)
1 Pm 0.250 0.243 0.938
2 Pm 0.750 0.257 0.438
3 Pm 0.250 0.743 0.562
4 Pm 0.750 0.757 0.062
5 In 0.250 0.855 0.851
6 In 0.750 0.645 0.351
7 In 0.250 0.355 0.649
8 In 0.750 0.145 0.149
9 Ag 0.250 0.595 0.018
10 Ag 0.750 0.905 0.518
11 Ag 0.250 0.095 0.482
12 Ag 0.750 0.405 0.982
13 Ag 0.750 0.316 0.743
14 Ag 0.250 0.184 0.243
15 Ag 0.750 0.816 0.757
16 Ag 0.250 0.684 0.257
17 Ag 0.250 0.936 0.084
18 Ag 0.750 0.564 0.584
19 Ag 0.250 0.436 0.416
20 Ag 0.750 0.064 0.916
21 Ag 0.994 0.435 0.194
22 Ag 0.006 0.065 0.694
23 Ag 0.506 0.935 0.306
24 Ag 0.494 0.565 0.806
25 Ag 0.006 0.565 0.806
26 Ag 0.994 0.935 0.306
27 Ag 0.494 0.065 0.694
28 Ag 0.506 0.435 0.194

---

DFT (GGA-PBE) results for a geometry-optimized Pm2In2Ag structure.

## Properties
**DOS at the Fermi energy**: 3.87 states/eV/f.u.
**Crystal system**: monoclinic
**Calculated density**: 7.61 g/cm3
**E_tot**: -3.981 eV per atom
**Magnetic moment**: 0.00 μB per formula unit

a b c (Å): 4.778 6.153 10.403
angles (deg): 88.17 76.72 67.15
Element x y z (fractional)
1 Pm 0.684 0.298 0.334
2 Pm 0.926 0.252 0.896
3 Pm 0.316 0.702 0.666
4 Pm 0.074 0.748 0.104
5 In 0.073 0.285 0.569
6 In 0.648 0.822 0.883
7 In 0.927 0.715 0.431
8 In 0.352 0.178 0.117
9 Ag 0.621 0.101 0.658
10 Ag 0.379 0.899 0.342

---

DFT (GGA-PBE) results for a geometry-optimized Pm2InAg3 structure.

## Properties
**DOS at the Fermi energy**: 5.06 states/eV/f.u.
**ΔE to the lowest computed polymorph**: 0.000 eV/atom
**Crystal system**: orthorhombic
**Calculated density**: 8.42 g/cm3
**E_tot**: -3.784 eV per atom
**Magnetic moment**: 0.00 μB per formula unit

a b c (Å): 5.984 5.984 9.866
angles (deg): 114.13 114.13 69.62
Element x y z (fractional)
1 Pm 0.750 0.250 0.500
2 Pm 0.756 0.244 0.000
3 Pm 0.250 0.750 0.500
4 Pm 0.244 0.756 0.000
5 In 0.666 0.666 0.332
6 In 0.334 0.334 0.668
7 Ag 0.833 0.833 0.166
8 Ag 0.667 0.667 0.834
9 Ag 0.167 0.167 0.834
10 Ag 0.333 0.333 0.166
11 Ag 0.167 0.167 0.333
12 Ag 0.833 0.833 0.667

---

DFT (GGA-PBE) results for a geometry-optimized PmInAg6 structure.

## Properties
**DOS at the Fermi energy**: 2.84 states/eV/f.u.
**Crystal system**: cubic
**Calculated density**: 9.10 g/cm3
**E_tot**: -3.117 eV per atom
**Magnetic moment**: 0.00 μB per formula unit

a b c (Å): 5.490 5.490 5.490
angles (deg): 90.00 90.00 90.00
Element x y z (fractional)
1 Pm 0.500 0.500 0.500
2 In 0.000 0.000 0.000
3 Ag 0.500 0.753 0.000
4 Ag 0.753 0.000 0.500
5 Ag 0.000 0.500 0.247
6 Ag 0.247 0.000 0.500
7 Ag 0.500 0.247 0.000
8 Ag 0.000 0.500 0.753

---

DFT (GGA-PBE) results for a geometry-optimized Pm2InAg6 structure.

## Properties
**DOS at the Fermi energy**: 5.57 states/eV/f.u.
**Crystal system**: trigonal
**Calculated density**: 8.66 g/cm3
**E_tot**: -3.463 eV per atom
**Magnetic moment**: 0.00 μB per formula unit

a b c (Å): 5.980 6.240 6.240
angles (deg): 60.00 90.00 90.00
Element x y z (fractional)
1 Pm 0.843 0.667 0.667
2 Pm 0.157 0.333 0.333
3 In 0.000 0.000 0.000
4 Ag 0.332 0.366 0.817
5 Ag 0.332 0.817 0.817
6 Ag 0.332 0.817 0.366
7 Ag 0.668 0.634 0.183
8 Ag 0.668 0.183 0.183
9 Ag 0.668 0.183 0.634

---

DFT (GGA-PBE) results for a geometry-optimized Pm2InAg structure.

## Properties
**DOS at the Fermi energy**: 4.25 states/eV/f.u.
**ΔE to the lowest computed polymorph**: 0.000 eV/atom
**Crystal system**: tetragonal
**Calculated density**: 7.80 g/cm3
**E_tot**: -4.154 eV per atom
**Magnetic moment**: 0.00 μB per formula unit

a b c (Å): 3.708 3.708 7.940
angles (deg): 90.00 90.00 90.00
Element x y z (fractional)
1 In 0.500 0.500 0.500
2 Ag 0.500 0.500 0.000
3 Pm 0.000 0.000 0.761
4 Pm 0.000 0.000 0.239

---

DFT (GGA-PBE) results for a geometry-optimized PmIn6Ag6 structure.

## Properties
**DOS at the Fermi energy**: 4.44 states/eV/f.u.
**Crystal system**: orthorhombic
**Calculated density**: 8.76 g/cm3
**E_tot**: -3.118 eV per atom
**Magnetic moment**: 0.00 μB per formula unit

a b c (Å): 5.864 7.514 7.514
angles (deg): 80.61 67.03 67.03
Element x y z (fractional)
1 Pm 0.000 0.000 0.000
2 In 0.344 0.656 0.656
3 In 0.656 0.344 0.344
4 In 0.000 0.345 0.655
5 In 0.000 0.655 0.345
6 In 0.316 0.184 0.184
7 In 0.684 0.816 0.816
8 Ag 0.000 0.500 0.000
9 Ag 0.500 0.500 0.000
10 Ag 0.000 0.000 0.500
11 Ag 0.500 0.000 0.500
12 Ag 0.500 0.766 0.234
13 Ag 0.500 0.234 0.766

---

DFT (GGA-PBE) results for a geometry-optimized Pm3In4Ag2 structure.

## Properties
**DOS at the Fermi energy**: 5.15 states/eV/f.u.
**Crystal system**: monoclinic
**Calculated density**: 7.96 g/cm3
**E_tot**: -3.886 eV per atom
**Magnetic moment**: 0.00 μB per formula unit

a b c (Å): 4.915 6.169 8.823
angles (deg): 74.16 73.83 66.52
Element x y z (fractional)
1 Pm 0.328 0.689 0.655
2 Pm 0.000 0.000 0.000
3 Pm 0.672 0.311 0.345
4 In 0.263 0.395 0.079
5 In 0.737 0.605 0.921
6 In 0.037 0.294 0.632
7 In 0.963 0.706 0.368
8 Ag 0.400 0.930 0.270
9 Ag 0.600 0.070 0.730

---

DFT (GGA-PBE) results for a geometry-optimized Pm8In2Ag structure.

## Properties
**DOS at the Fermi energy**: 11.67 states/eV/f.u.
**ΔE to the lowest computed polymorph**: 0.021 eV/atom
**Crystal system**: monoclinic
**Calculated density**: 7.24 g/cm3
**E_tot**: -4.405 eV per atom
**Magnetic moment**: 0.00 μB per formula unit

a b c (Å): 5.301 6.931 9.961
angles (deg): 102.83 105.43 90.00
Element x y z (fractional)
1 Pm 0.407 0.533 0.814
2 Pm 0.654 0.975 0.309
3 Pm 0.794 0.703 0.588
4 Pm 0.984 0.231 0.968
5 Pm 0.206 0.297 0.412
6 Pm 0.346 0.025 0.691
7 Pm 0.593 0.467 0.186
8 Pm 0.016 0.769 0.032
9 In 0.815 0.256 0.631
10 In 0.185 0.744 0.369
11 Ag 0.500 0.000 0.000

---

DFT (GGA-PBE) results for a geometry-optimized Pm3In2Ag2 structure.

## Properties
**DOS at the Fermi energy**: 6.51 states/eV/f.u.
**Crystal system**: orthorhombic
**Calculated density**: 7.98 g/cm3
**E_tot**: -4.024 eV per atom
**Magnetic moment**: 0.00 μB per formula unit

a b c (Å): 4.612 3.555 11.410
angles (deg): 90.00 78.34 90.00
Element x y z (fractional)
1 Pm 0.841 0.000 0.319
2 Pm 0.000 0.000 0.000
3 Pm 0.159 0.000 0.681
4 In 0.578 0.500 0.843
5 In 0.422 0.500 0.157
6 Ag 0.714 0.500 0.571
7 Ag 0.286 0.500 0.429

---

DFT (GGA-PBE) results for a geometry-optimized Pm4InAg5 structure.

## Properties
**DOS at the Fermi energy**: 7.53 states/eV/f.u.
**Crystal system**: tetragonal
**Calculated density**: 8.18 g/cm3
**E_tot**: -3.832 eV per atom
**Magnetic moment**: 0.00 μB per formula unit

a b c (Å): 3.744 3.744 17.879
angles (deg): 90.00 90.00 90.00
Element x y z (fractional)
1 Pm 0.000 0.000 0.188
2 Pm 0.000 0.000 0.395
3 Pm 0.000 0.000 0.605
4 Pm 0.000 0.000 0.812
5 In 0.000 0.000 0.000
6 Ag 0.500 0.500 0.090
7 Ag 0.500 0.500 0.291
8 Ag 0.500 0.500 0.500
9 Ag 0.500 0.500 0.709
10 Ag 0.500 0.500 0.910